ZrZn3: single point on PBEsol structure, SCAN.

abc: 4.1366 4.1366 7.9733
angles: 105.03 105.03 90.00
Atoms (fractional coordinates):
Zn 0.1339 0.1339 0.2679
Zn 0.0000 0.5000 0.0000
Zn 0.2500 0.7500 0.5000
Zn 0.5000 0.0000 0.0000
Zn 0.8661 0.8661 0.7321
Zr 0.3730 0.3730 0.7459
Zn 0.7500 0.2500 0.5000
Zr 0.6270 0.6270 0.2541

Summary:
energy	-1.33002	Ry/atom
formation energy	-1.14	eV per formula unit
magnetic moment	0.0	μB per formula unit
D(E_F)	2.377	states/eV per cell


Zr5Zn3: single point on PBEsol structure, SCAN.

abc: 5.1850 8.0683 8.0683
angles: 84.07 71.26 71.26
Each line ends with the local moment (μB).
Atoms (fractional coordinates):
Zr 0.4196 0.8598 0.3010  0.39
Zr 0.7206 0.6990 0.8598  0.39
Zn 0.2500 0.0000 0.0000  0.02
Zn 0.3359 0.5000 0.8281  0.01
Zr 0.2794 0.3010 0.1402  0.39
Zr 0.2500 0.5000 0.5000  -0.01
Zr 0.7794 0.1402 0.3010  0.39
Zr 0.7500 0.5000 0.5000  -0.01
Zr 0.9196 0.3010 0.8598  0.39
Zn 0.1641 0.1719 0.5000  0.01
Zn 0.6641 0.5000 0.1719  0.01
Zr 0.0804 0.6990 0.1402  0.39
Zr 0.5804 0.1402 0.6990  0.39
Zn 0.7500 0.0000 0.0000  0.02
Zn 0.8359 0.8281 0.5000  0.01
Zr 0.2206 0.8598 0.6990  0.39

Summary:
energy	-1.80150	Ry/atom
formation energy	-2.05	eV per formula unit
magnetic moment	2.7	μB per formula unit
D(E_F)	16.836	states/eV per cell
energy above the most stable polymorph in this dataset	9	meV per atom


Zr5Zn24: single point on PBEsol structure, SCAN.

abc: 8.3124 8.3124 8.3124
angles: 109.47 109.47 109.47
Atoms (fractional coordinates):
Zr 0.0000 0.3842 0.0000
Zr 0.0000 0.0000 0.0000
Zn 0.0000 0.6213 0.3246
Zn 0.3787 0.7033 0.3787
Zn 0.3246 0.0000 0.6213
Zn 0.2967 0.6754 0.6754
Zn 0.6291 0.8070 0.0000
Zn 0.6213 0.3246 0.0000
Zn 0.6754 0.6754 0.2967
Zn 0.8070 0.6291 0.0000
Zn 0.6291 0.0000 0.8070
Zn 0.8070 0.0000 0.6291
Zn 0.8221 0.1930 0.1930
Zn 0.6213 0.0000 0.3246
Zr 0.3842 0.0000 0.0000
Zn 0.1930 0.1930 0.8221
Zn 0.3709 0.1779 0.3709
Zr 0.6158 0.6158 0.6158
Zn 0.1779 0.3709 0.3709
Zn 0.6754 0.2967 0.6754
Zn 0.3246 0.6213 0.0000
Zn 0.0000 0.8070 0.6291
Zn 0.0000 0.3246 0.6213
Zn 0.0000 0.6291 0.8070
Zn 0.3709 0.3709 0.1779
Zn 0.3787 0.3787 0.7033
Zn 0.7033 0.3787 0.3787
Zr 0.0000 0.0000 0.3842
Zn 0.1930 0.8221 0.1930

Summary:
energy	-1.22866	Ry/atom
formation energy	-6.93	eV per formula unit
magnetic moment	0.0	μB per formula unit
D(E_F)	15.092	states/eV per cell


Zr3Zn5: single point on PBEsol structure, SCAN.

abc: 4.4420 5.6455 5.6455
angles: 106.75 90.00 90.00
Atoms (fractional coordinates):
Zr 0.0000 0.5000 0.5000
Zn 0.0000 0.0000 0.0000
Zn 0.5000 0.2650 0.2650
Zn 0.0000 0.5000 0.0000
Zn 0.0000 0.0000 0.5000
Zr 0.5000 0.7714 0.2286
Zr 0.5000 0.2286 0.7714
Zn 0.5000 0.7350 0.7350

Summary:
energy	-1.48907	Ry/atom
formation energy	-2.41	eV per formula unit
magnetic moment	0.0	μB per formula unit
D(E_F)	3.140	states/eV per cell
energy above the most stable polymorph in this dataset	26	meV per atom